# Cu2IrBr | Alexandria | PBE | relaxed
# E above lowest polymorph = 0.430 eV/atom
# Spin magnetization = 0.00 μB/atom
# Formation energy from raw total energies = 828 meV per atom
data_Cu2IrBr
_cell_length_a 6.2378
_cell_length_b 6.2378
_cell_length_c 6.2378
_cell_angle_alpha 90.00
_cell_angle_beta 90.00
_cell_angle_gamma 90.00
_symmetry_space_group_name_H-M 'F -4 3 m'
_symmetry_Int_Tables_number 216
_symmetry_space_group_name_Hall 'F -4 2 3'
loop_
_atom_site_label
_atom_site_type_symbol
_atom_site_fract_x
_atom_site_fract_y
_atom_site_fract_z
_atom_site_occupancy
Cu1 Cu 0.0000 0.0000 0.0000 1
Cu2 Cu 0.2500 0.2500 0.2500 1
Ir1 Ir 0.0000 0.0000 0.5000 1
Br1 Br 0.2500 0.2500 0.7500 1